# 1
LaErMgSn after structural relaxation, computed with PBE.

abc: 5.407 5.407 5.407
angles: 60.00 60.00 60.00
Atoms (fractional coordinates):
Mg: 0.750 0.750 0.750
Er: 0.000 0.000 0.000
Sn: 0.250 0.250 0.250
La: 0.500 0.500 0.500

Properties
**Total DFT energy (no corrections)**: -4.1895 eV per atom
**Energy relative to the elements**: -1.67 eV per formula unit
**Space-group type**: No. 216

# 2
CsYCS2 after structural relaxation, computed with PBE.

abc: 4.798 4.618 4.798
angles: 90.00 90.00 90.00
Atoms (fractional coordinates):
S: 0.000 0.000 0.500
C: 0.000 0.000 0.000
S: 0.500 0.000 0.000
Cs: 0.000 0.500 0.000
Y: 0.500 0.500 0.500

Properties
**Total DFT energy (no corrections)**: -4.1302 eV per atom
**Space-group type**: No. 123
**Formation energy (no corrections)**: 0.829 eV per atom

# 3
Tl2InGaI5 after structural relaxation, computed with PBE.

abc: 5.123 10.970 14.163
angles: 90.00 90.00 103.50
Atoms (fractional coordinates):
I: 0.334 0.669 0.365
I: 0.666 0.331 0.865
In: 0.798 0.597 0.541
I: 0.646 0.292 0.514
I: 0.976 0.952 0.498
I: 0.516 0.031 0.256
Tl: 0.872 0.745 0.186
I: 0.484 0.969 0.756
Ga: 0.458 0.916 0.427
Tl: 0.129 0.258 0.337
I: 0.712 0.424 0.199
In: 0.202 0.403 0.041
I: 0.288 0.576 0.699
I: 0.354 0.708 0.014
Tl: 0.128 0.255 0.686
Tl: 0.871 0.742 0.837
Ga: 0.542 0.084 0.927
I: 0.024 0.048 0.998

Properties
**Total DFT energy (no corrections)**: -2.5349 eV per atom
**Space-group type**: No. 36
**Formation energy (no corrections)**: -0.507 eV per atom

# 4
CsNaTb2I8 after structural relaxation, computed with PBE.

abc: 8.152 8.152 9.564
angles: 90.00 90.00 120.00
Atoms (fractional coordinates):
I: 0.062 0.376 0.152
Tb: 0.333 0.667 0.910
Na: 0.000 0.000 0.000
I: 0.687 0.062 0.848
I: 0.333 0.667 0.598
I: 0.624 0.687 0.152
I: 0.313 0.938 0.152
I: 0.376 0.313 0.848
I: 0.667 0.333 0.402
I: 0.938 0.624 0.848
Cs: 0.000 0.000 0.500
Tb: 0.667 0.333 0.090

Properties
**Total DFT energy (no corrections)**: -3.3256 eV per atom
**Space-group type**: No. 147
**Formation energy (no corrections)**: -1.339 eV per atom

# 5
Nb2TlN after structural relaxation, computed with PBE.

abc: 4.532 4.532 4.532
angles: 60.00 60.00 60.00
Atoms (fractional coordinates):
Nb: 0.250 0.250 0.250
Tl: 0.500 0.500 0.500
Nb: 0.750 0.750 0.750
N: 0.000 0.000 0.000

Properties
**Total DFT energy (no corrections)**: -6.6263 eV per atom
**Space-group type**: No. 225
**Formation energy (no corrections)**: 1.082 eV per atom

# 6
CrAg2Mo after structural relaxation, computed with PBE.

abc: 3.134 4.309 4.827
angles: 90.00 90.00 90.00
Atoms (fractional coordinates):
Ag: 0.000 0.000 0.000
Ag: 0.500 0.500 0.000
Cr: 0.500 0.000 0.500
Mo: 0.000 0.500 0.500

Properties
**Total DFT energy (no corrections)**: -5.9616 eV per atom
**Energy relative to the elements**: 2.31 eV per formula unit
**Space-group type**: No. 47

# 7
BaPrSb2Pd2 after structural relaxation, computed with PBE.

abc: 4.621 4.621 9.052
angles: 90.00 90.00 120.00
Atoms (fractional coordinates):
Pd: 0.333 0.667 0.717
Sb: 0.667 0.333 0.729
Pd: 0.667 0.333 0.283
Pr: 0.000 0.000 0.500
Sb: 0.333 0.667 0.271
Ba: 0.000 0.000 0.000

Properties
**Total DFT energy (no corrections)**: -5.2261 eV per atom
**Space-group type**: No. 164
**Formation energy (no corrections)**: -1.004 eV per atom

# 8
Si2TcSb after structural relaxation, computed with PBE.

abc: 5.061 5.061 5.061
angles: 141.48 120.88 72.81
Atoms (fractional coordinates):
Si: 0.486 0.486 0.000
Sb: 0.750 0.250 0.500
Tc: 0.250 0.750 0.500
Si: 0.014 0.014 0.000

Properties
**Total DFT energy (no corrections)**: -5.9146 eV per atom
**Space-group type**: No. 71
**Formation energy (no corrections)**: 0.419 eV per atom

# 9
LaCr2Cu after structural relaxation, computed with PBE.

abc: 4.834 4.834 5.349
angles: 80.04 80.04 36.45
Atoms (fractional coordinates):
Cr: 0.472 0.472 0.625
La: 0.250 0.250 0.250
Cu: 0.750 0.750 0.750
Cr: 0.028 0.028 0.875

Properties
**Total DFT energy (no corrections)**: -6.5486 eV per atom
**Energy relative to the elements**: 2.08 eV per formula unit
**Space-group type**: No. 12

# 10
Ce2Pm3YSb6 after structural relaxation, computed with PBE.

abc: 4.477 8.961 10.007
angles: 103.02 102.93 90.00
Atoms (fractional coordinates):
Sb: 0.665 0.083 0.330
Pm: 0.833 0.166 0.666
Ce: 0.166 0.332 0.331
Sb: 0.335 0.917 0.670
Sb: 0.667 0.583 0.334
Sb: 0.000 0.246 0.000
Sb: 0.000 0.754 0.000
Y: 0.500 0.000 0.000
Pm: 0.500 0.500 0.000
Sb: 0.333 0.417 0.666
Pm: 0.167 0.834 0.334
Ce: 0.834 0.668 0.669

Properties
**Total DFT energy (no corrections)**: -5.9137 eV per atom
**Space-group type**: No. 12
**Formation energy (no corrections)**: -1.137 eV per atom

# 11
BaCe2TcN4 after structural relaxation, computed with PBE.

abc: 3.586 6.429 12.384
angles: 90.00 90.00 106.19
Atoms (fractional coordinates):
N: 0.395 0.790 0.750
Ce: 0.633 0.266 0.454
Ba: 0.077 0.154 0.750
Ce: 0.633 0.266 0.046
Ba: 0.923 0.846 0.250
N: 0.751 0.502 0.605
N: 0.249 0.498 0.105
N: 0.605 0.210 0.250
Ce: 0.367 0.734 0.546
N: 0.000 0.000 0.500
N: 0.249 0.498 0.395
Ce: 0.367 0.734 0.954
Tc: 0.185 0.369 0.250
N: 0.751 0.502 0.895
N: 0.000 0.000 0.000
Tc: 0.815 0.631 0.750

Properties
**Total DFT energy (no corrections)**: -8.1600 eV per atom
**Space-group type**: No. 63
**Formation energy (no corrections)**: -0.978 eV per atom

# 12
Sm4Dy2TmSc after structural relaxation, computed with PBE.

abc: 5.048 5.038 11.092
angles: 63.00 90.00 90.00
Atoms (fractional coordinates):
Sm: 0.500 0.745 0.254
Dy: 0.000 0.000 0.000
Sm: 0.500 0.255 0.746
Tm: 0.500 0.500 0.000
Sm: 0.000 0.755 0.746
Dy: 0.500 0.000 0.500
Sc: 0.000 0.500 0.500
Sm: 0.000 0.246 0.254

Properties
**Total DFT energy (no corrections)**: -4.8323 eV per atom
**Energy relative to the elements**: 0.23 eV per formula unit
**Space-group type**: No. 123